1.
DFT (GGA-PBE) results for crystalline Nd3DyRh at its relaxed geometry.

Structure (extended XYZ):
```
10
Lattice="7.385 0.676 0.793 -3.036 6.766 -0.793 -3.149 -3.152 5.981" Properties=species:S:1:pos:R:3 pbc="T T T"
Rh 0.217 -2.291 5.624
Dy 1.106 0.151 4.983
Rh -0.902 3.355 0.357
Nd 5.583 1.538 1.814
Nd -0.650 3.197 3.754
Dy 0.789 5.328 0.998
Nd -3.080 4.617 1.435
Nd -4.549 2.467 4.168
Nd -2.494 -0.718 4.282
Nd 1.799 1.765 1.699
```

offset from the most stable computed form = 0.0000 eV/atom
E_tot = -55.555 eV/cell
M_tot = 0.0 μB/f.u.
energy relative to the elements = -0.304 eV per atom

2.
DFT (GGA-PBE) results for crystalline Nd4DyRh at its relaxed geometry.

Structure (extended XYZ):
```
12
Lattice="6.035 0.000 -0.521 0.000 7.583 0.000 -2.312 -3.792 8.483" Properties=species:S:1:pos:R:3 pbc="T T T"
Rh 1.634 3.792 -0.141
Nd -2.312 -2.232 8.483
Nd 6.034 6.023 -0.522
Nd 0.539 1.919 6.277
Nd 0.539 -1.919 6.277
Rh 2.089 -0.001 8.102
Nd 3.183 5.710 1.684
Nd 3.184 1.873 1.684
Nd 0.244 3.792 2.845
Dy 0.278 0.000 3.248
Nd 3.479 0.000 5.116
Dy 3.444 3.791 4.713
```

E_tot = -64.233 eV/cell
M_tot = 0.0 μB/f.u.
energy relative to the elements = -0.182 eV per atom

3.
DFT (GGA-PBE) results for crystalline NdDy5Rh6 at its relaxed geometry.

Structure (extended XYZ):
```
12
Lattice="-2.345 2.481 3.461 -1.614 -5.933 3.159 4.992 1.639 5.629" Properties=species:S:1:pos:R:3 pbc="T T T"
Dy 0.954 -0.220 7.638
Rh -1.470 -1.820 7.137
Dy -0.807 -2.967 1.580
Rh -2.372 -3.170 4.078
Dy 0.897 1.374 3.039
Rh -1.587 -0.283 2.542
Nd 0.000 0.000 0.000
Dy 1.750 2.746 6.051
Rh 1.704 -2.930 6.675
Dy 0.079 -1.594 4.611
Rh 2.503 0.006 5.112
Rh -0.671 1.116 5.574
```

E_tot = -81.845 eV/cell
M_tot = 0.0 μB/f.u.
energy relative to the elements = -0.830 eV per atom